A plane-wave DFT calculation with GGA-PBE was carried out for a geometry-optimized As2IrPb structure.

Results
**D(E_F)**: 0.533 states/eV per atom
**Total energy**: -21.85 eV per cell
**Space group**: Cm
**Energy relative to the lowest polymorph listed for this composition**: 0.059 eV per atom

Lattice parameters (Å, degrees): 4.4614 4.4614 6.3779 73.73 73.73 49.02
Atoms (fractional coordinates):
As 0.0291 0.0291 0.0465
Pb 0.8089 0.8089 0.7440
As 0.1741 0.1741 0.3896
Ir 0.4878 0.4878 0.3199